# InSe2Br PBE-GGA relaxed
# - formation energy without anion corrections (eV per formula unit) = 0.769
# - calculated total energy (eV per atom) = -2.65
data_InSe2Br
_cell_length_a 3.847
_cell_length_b 5.558
_cell_length_c 10.660
_cell_angle_alpha 90.00
_cell_angle_beta 90.00
_cell_angle_gamma 90.00
_symmetry_space_group_name_H-M 'C m m m'
_symmetry_Int_Tables_number 65
_symmetry_space_group_name_Hall '-C 2 2'
loop_
_atom_site_label
_atom_site_type_symbol
_atom_site_fract_x
_atom_site_fract_y
_atom_site_fract_z
In1 In 0.000 0.000 0.000
Se1 Se 0.000 0.500 0.180
Br1 Br 0.000 0.000 0.500